A relaxed structure of BAsC. Source: Alexandria, functional PBE-GGA.

```
BAsC
1.0
-2.995 3.377 0.503
-3.160 -2.374 -2.874
-2.797 -3.351 5.845
C As B
4 4 4
Direct
0.010 0.599 0.922
0.510 0.401 0.078
0.510 0.901 0.922
0.010 0.099 0.078
0.544 0.593 0.323
0.544 0.093 0.677
0.044 0.407 0.677
0.044 0.907 0.323
0.175 0.375 0.041
0.675 0.625 0.959
0.675 0.125 0.041
0.175 0.875 0.959
```

Calculated values
Space group: Pca2_1 (29)
Formation energy from the elements (eV per atom): 0.27
N(E_F) (states/eV per atom): 0.0868
E (hartree per atom): -0.2419
Calculated volume (Å³ per atom): 13.5
Total magnetization (μB/f.u.): 0.0